## RuAu3Cl (PBE)

Data for an optimized crystal structure of RuAu3Cl.

abc: 5.0728 5.0728 5.0728
angles: 90.00 90.00 90.00
Closest atoms and distances in Å follow each position.
Positions (direct):
Ru 0.0000 0.0000 0.0000  6 Au 2.54
Au 0.0000 0.5000 0.0000  2 Ru 2.54
Au 0.0000 0.0000 0.5000  2 Ru 2.54
Au 0.5000 0.0000 0.0000  2 Ru 2.54
Cl 0.5000 0.5000 0.5000  12 Au 3.59

Output
As for the uncorrected energy: -0.11243 hartree per atom. As for the space group: Pm-3m (221). As for the uncorrected formation energy: 1131.6 meV/atom. The value obtained for the total moment is 0.44 μB per atom.